# 1
Hf2SbH | PBE | relaxed

Offset from the most stable computed form = 0.101 eV per atom
DFT total energy = -7.020 eV per atom

Cell and atoms, written as POSCAR:
```
Hf2SbH
1.0
1.6833 0.9719 7.0561
-1.6833 0.9719 7.0561
0.0000 -1.9438 7.0561
Hf Sb H
2 1 1
Cartesian
0.0000 0.0000 4.7334
0.0000 0.0000 16.4349
0.0000 0.0000 0.0000
0.0000 0.0000 10.5842
```

***

# 2
HfSbH3 | PBE | relaxed

Offset from the most stable computed form = 1.043 eV per atom
DFT total energy = -3.928 eV per atom

Cell and atoms, written as POSCAR:
```
HfSbH3
1.0
3.9234 0.0000 0.0000
0.0000 3.9234 0.0000
0.0000 0.0000 3.9234
Hf Sb H
1 1 3
Cartesian
0.0000 0.0000 0.0000
1.9617 1.9617 1.9617
0.0000 1.9617 1.9617
1.9617 0.0000 1.9617
1.9617 1.9617 0.0000
```

***

# 3
Hf4Sb3H4 | PBE | relaxed

DFT total energy = -6.112 eV per atom

Cell and atoms, written as POSCAR:
```
Hf4Sb3H4
1.0
-1.7542 3.7394 6.9250
1.7542 -3.7394 6.9250
1.7542 3.7394 -6.9250
Hf Sb H
4 3 4
Cartesian
0.0000 0.0000 2.7144
1.7542 2.1931 0.0000
0.0000 1.5463 6.9250
0.0000 0.0000 11.1356
0.0000 0.0000 0.0000
1.7542 0.0000 5.0644
0.0000 3.7394 1.8606
1.7542 -1.0667 2.0527
1.7542 1.0667 2.0527
0.0000 2.6727 4.8722
0.0000 4.8061 4.8722
```

***

# 4
Hf2Sb2H3 | PBE | relaxed

DFT total energy = -5.744 eV per atom

Cell and atoms, written as POSCAR:
```
Hf2Sb2H3
1.0
5.4091 -1.6442 0.0000
5.4091 1.6442 0.0000
-3.8610 0.0000 5.8317
Hf Sb H
2 2 3
Cartesian
0.6796 0.0000 1.3778
6.2777 0.0000 4.4539
-1.5704 0.0000 4.4607
8.5277 0.0000 1.3711
1.3955 0.0000 3.4007
5.4091 0.0000 0.0000
5.5618 0.0000 2.4311
```

***

# 5
Hf12Sb6H | PBE | relaxed

DFT total energy = -7.895 eV per atom

Cell and atoms, written as POSCAR:
```
Hf12Sb6H
1.0
6.0403 3.4874 3.4366
-6.0403 3.4874 3.4366
0.0000 -6.9747 3.4366
Hf Sb H
12 6 1
Cartesian
-1.7085 0.7105 1.2298
0.2389 -1.8348 1.2298
-1.2066 -1.4876 3.8310
1.4696 1.1243 1.2298
-0.6850 1.7887 3.8310
-1.8916 0.3011 6.4789
1.8916 -0.3011 3.8310
0.6850 -1.7887 6.4789
-1.4696 -1.1243 9.0801
1.2066 1.4876 6.4789
-0.2389 1.8348 9.0801
1.7085 -0.7105 9.0801
-3.3167 0.4390 3.7398
1.2781 -3.0918 3.7398
-2.0385 -2.6528 6.5701
2.0385 2.6528 3.7398
-1.2781 3.0918 6.5701
3.3167 -0.4390 6.5701
0.0000 0.0000 0.0000
```

***

# 6
HfSbH | PBE | relaxed

Offset from the most stable computed form = 0.000 eV per atom
DFT total energy = -6.337 eV per atom

Cell and atoms, written as POSCAR:
```
HfSbH
1.0
3.7473 0.0000 0.0000
-1.8737 3.2453 0.0000
0.0000 0.0000 3.9520
Hf Sb H
1 1 1
Cartesian
0.0000 0.0000 0.0000
1.8737 1.0818 1.9760
0.0000 2.1635 0.0000
```

***

# 7
HfSbH | PBE | relaxed

Offset from the most stable computed form = 0.255 eV per atom
DFT total energy = -6.082 eV per atom

Cell and atoms, written as POSCAR:
```
HfSbH
1.0
-7.3771 7.3771 4.1114
7.3771 -7.3771 4.1114
7.3771 7.3771 -4.1114
Hf Sb H
16 16 16
Cartesian
2.7016 -1.3179 1.6370
9.7476 0.9870 0.4187
3.1889 1.5859 0.5054
10.0786 -1.3179 2.4744
5.2744 7.8767 -2.5611
5.2744 0.4996 2.5611
4.1882 -1.5859 4.6167
5.0065 6.3901 0.4187
2.3706 0.9870 3.6927
3.1889 8.9630 -0.5054
2.1026 6.8774 1.5503
2.1026 -0.4996 6.6724
-2.7016 8.6950 1.6370
4.1882 5.7912 3.6060
-2.3706 6.3901 3.6927
4.6755 8.6950 2.4744
7.4928 -1.1587 1.0386
7.5467 -5.8992 3.9992
9.9069 3.5728 -1.0171
4.8472 3.8043 -1.0171
7.4928 6.2184 -1.0386
7.2074 -1.4779 3.9992
5.1664 3.5189 1.9435
9.5877 3.8581 1.9435
-2.2107 3.5189 2.1679
2.2107 3.8581 2.1679
0.1696 8.8549 0.1122
-0.1158 1.1587 5.1500
2.5298 3.5728 5.1285
-2.5298 3.8043 5.1285
-0.1696 13.2763 0.1122
-0.1158 8.5358 3.0728
11.8519 -1.3052 1.4904
4.9937 0.7864 0.5653
11.6305 1.6941 0.3239
4.4749 -1.3052 2.6210
1.9944 0.5649 1.7318
9.3715 0.5649 2.3796
3.1237 5.6829 0.3239
4.9937 8.1634 -0.5653
2.3833 -0.7864 4.6766
4.2534 1.6941 3.7875
-1.9944 6.8122 1.7318
5.3827 6.8122 2.3796
2.9022 8.6823 1.4904
-4.2534 5.6829 3.7875
2.3833 6.5907 3.5461
-4.4749 8.6823 2.6210
```

***

# 8
HfSbH3 | PBE | relaxed

Offset from the most stable computed form = 0.000 eV per atom
DFT total energy = -4.972 eV per atom

Cell and atoms, written as POSCAR:
```
HfSbH3
1.0
7.4423 0.0000 0.0000
0.0000 3.3677 0.0000
0.0000 0.0000 9.3732
Hf Sb H
4 4 12
Cartesian
0.7455 0.8419 1.3559
2.9757 2.5258 6.0425
4.4666 0.8419 3.3307
6.6968 2.5258 8.0173
1.1861 0.8419 4.3031
2.5351 2.5258 8.9897
4.9072 0.8419 0.3834
6.2562 2.5258 5.0700
0.2936 0.8419 8.7031
0.9313 2.5258 2.3367
1.0627 2.5258 6.8923
2.6584 0.8419 2.2057
2.7898 0.8419 7.0233
3.4275 2.5258 4.0165
4.0147 0.8419 5.3567
4.6525 2.5258 2.3499
4.7839 2.5258 7.1674
6.3796 0.8419 2.4808
6.5109 0.8419 7.0364
7.1487 2.5258 0.6701
```

***

# 9
Hf4SbH | PBE | relaxed

DFT total energy = -8.061 eV per atom

Cell and atoms, written as POSCAR:
```
Hf4SbH
1.0
4.2665 -6.5173 0.0000
4.2665 6.5173 0.0000
-3.8838 0.0000 4.3522
Hf Sb H
8 2 2
Cartesian
-0.3310 3.7807 3.7890
-0.6657 0.7283 2.6093
1.2762 -0.7283 0.4332
3.0384 3.7807 2.7393
1.6109 -3.7807 1.6129
3.3731 0.7283 3.9190
5.3150 -0.7283 1.7429
4.9803 -3.7807 0.5632
3.2956 1.3435 1.0881
1.3537 -1.3435 3.2642
1.3537 4.5802 3.2642
3.2956 -4.5802 1.0881
```

***

# 10
Hf4SbH2 | PBE | relaxed

DFT total energy = -7.466 eV per atom

Cell and atoms, written as POSCAR:
```
Hf4SbH2
1.0
5.7867 0.0000 0.0000
-0.3373 6.1505 0.0000
-2.3448 -1.7518 6.6682
Hf Sb H
8 2 4
Cartesian
0.0000 0.0000 0.0000
-0.1741 3.0747 0.0460
-1.2450 2.9586 4.5130
0.5288 -0.3016 5.4896
2.6643 4.5788 0.5817
1.7695 2.7863 4.4912
2.8442 1.5375 1.7987
3.4997 -0.3587 3.9543
-0.0159 1.3123 2.6468
0.4694 4.6484 2.6184
2.1071 0.3045 0.3525
1.3398 1.5581 5.9871
3.1365 3.3834 2.9955
4.2528 1.4732 0.2804
```

***

# 11
Hf2SbH | PBE | relaxed

Offset from the most stable computed form = 0.351 eV per atom
DFT total energy = -6.770 eV per atom

Cell and atoms, written as POSCAR:
```
Hf2SbH
1.0
-2.7751 2.7751 5.0754
2.7751 -2.7751 5.0754
2.7751 2.7751 -5.0754
Hf Sb H
4 2 2
Cartesian
0.0000 0.0000 0.0000
1.3875 1.3875 -2.5377
1.3875 -1.3875 2.5377
0.0000 2.7751 0.0000
2.7751 1.3875 1.2688
0.0000 1.3875 3.8065
2.7751 -1.3875 3.8065
0.0000 4.1626 1.2688
```

***

# 12
Hf2SbH | PBE | relaxed

Offset from the most stable computed form = 0.441 eV per atom
DFT total energy = -6.680 eV per atom

Cell and atoms, written as POSCAR:
```
Hf2SbH
1.0
0.0000 3.3378 3.3378
3.3378 0.0000 3.3378
3.3378 3.3378 0.0000
Hf Sb H
2 1 1
Cartesian
1.6689 1.6689 1.6689
5.0067 5.0067 5.0067
0.0000 0.0000 0.0000
3.3378 3.3378 3.3378
```

***

# 13
HfSbH | PBE | relaxed

Offset from the most stable computed form = 0.090 eV per atom
DFT total energy = -6.247 eV per atom

Cell and atoms, written as POSCAR:
```
HfSbH
1.0
3.6912 0.0000 0.0000
-1.8456 3.1967 0.0000
0.0000 0.0000 8.2138
Hf Sb H
2 2 2
Cartesian
0.0000 2.1311 2.0535
1.8456 1.0656 6.1604
0.0000 0.0000 0.0000
0.0000 0.0000 4.1069
0.0000 2.1311 6.1604
1.8456 1.0656 2.0535
```

***

# 14
Hf3SbH2 | PBE | relaxed

DFT total energy = -7.015 eV per atom

Cell and atoms, written as POSCAR:
```
Hf3SbH2
1.0
8.8113 -1.5765 0.0000
8.8113 1.5765 0.0000
-1.9124 0.0000 7.2734
Hf Sb H
6 2 4
Cartesian
0.7698 0.0000 1.3430
3.1706 0.0000 5.8720
6.9734 0.0000 1.0770
8.7368 0.0000 6.1963
12.5397 0.0000 1.4013
14.9404 0.0000 5.9304
5.2468 0.0000 3.5135
10.4635 0.0000 3.7599
-0.8280 0.0000 5.0728
4.8732 0.0000 0.6077
10.8371 0.0000 6.6657
16.5383 0.0000 2.2006
```

***

# 15
HfSb3H | PBE | relaxed

Offset from the most stable computed form = 0.280 eV per atom
DFT total energy = -4.482 eV per atom

Cell and atoms, written as POSCAR:
```
HfSb3H
1.0
5.5134 0.0000 0.0000
0.0000 5.5134 0.0000
0.0000 0.0000 5.5134
Hf Sb H
1 3 1
Cartesian
0.0000 0.0000 0.0000
0.0000 0.0000 2.7567
0.0000 2.7567 0.0000
2.7567 0.0000 0.0000
2.7567 2.7567 2.7567
```

***

# 16
HfSbH3 | PBE | relaxed

Offset from the most stable computed form = 0.201 eV per atom
DFT total energy = -4.770 eV per atom

Cell and atoms, written as POSCAR:
```
HfSbH3
1.0
3.8477 0.0000 0.0000
0.0000 3.8477 0.0000
0.0000 0.0000 3.8477
Hf Sb H
1 1 3
Cartesian
0.0000 0.0000 0.0000
1.9238 1.9238 1.9238
0.0000 0.0000 1.9238
0.0000 1.9238 0.0000
1.9238 0.0000 0.0000
```

***

# 17
Hf2SbH3 | PBE | relaxed

DFT total energy = -6.063 eV per atom

Cell and atoms, written as POSCAR:
```
Hf2SbH3
1.0
6.2557 -1.7757 0.0000
6.2557 1.7757 0.0000
-2.4798 0.0000 6.6577
Hf Sb H
4 2 6
Cartesian
-0.1598 0.0000 1.6147
3.2857 0.0000 2.3488
6.7459 0.0000 4.3089
10.1915 0.0000 5.0430
2.0300 0.0000 6.2727
8.0016 0.0000 0.3850
-0.3712 0.0000 4.7280
1.2068 0.0000 3.1093
4.3148 0.0000 4.1255
5.7169 0.0000 2.5322
8.8248 0.0000 3.5484
10.4028 0.0000 1.9298
```

***

# 18
Hf2Sb2H | PBE | relaxed

DFT total energy = -6.835 eV per atom

Cell and atoms, written as POSCAR:
```
Hf2Sb2H
1.0
5.2804 -1.8729 0.0000
5.2804 1.8729 0.0000
-4.5407 0.0000 9.5954
Hf Sb H
4 4 2
Cartesian
-1.1633 0.0000 3.6417
-0.0317 0.0000 8.1626
6.0519 0.0000 1.4328
7.1835 0.0000 5.9537
-3.0493 0.0000 8.8611
1.8062 0.0000 3.5529
4.2140 0.0000 6.0425
9.0694 0.0000 0.7343
1.3150 0.0000 6.6542
4.7052 0.0000 2.9412
```

***

# 19
Hf6Sb3H | PBE | relaxed

DFT total energy = -7.925 eV per atom

Cell and atoms, written as POSCAR:
```
Hf6Sb3H
1.0
5.6501 -7.1876 0.0000
5.6501 7.1876 0.0000
0.0000 0.0000 4.8604
Hf Sb H
12 6 2
Cartesian
5.6501 6.2272 2.4302
3.7589 3.7136 2.4726
3.7602 1.0209 0.0242
5.6501 3.4261 0.0322
3.7602 -1.0209 2.4544
7.5414 3.7136 2.4726
3.7589 -3.7136 0.0424
7.5401 1.0209 0.0242
5.6501 -3.4261 2.4624
7.5401 -1.0209 2.4544
7.5414 -3.7136 0.0424
5.6501 -6.2272 0.0000
1.8834 1.3958 2.4283
1.8834 -1.3958 4.8585
5.6501 1.3701 2.4599
5.6501 -1.3701 0.0297
9.4169 1.3958 2.4283
9.4169 -1.3958 4.8585
5.6501 4.2755 1.9021
5.6501 -4.2755 4.3323
```

***

# 20
HfSc2SbH | PBE | relaxed

DFT total energy = -6.495 eV per atom

Cell and atoms, written as POSCAR:
```
HfSc2SbH
1.0
4.4966 0.0000 0.0000
0.0000 4.4966 0.0000
0.0000 0.0000 4.3238
Hf Sc Sb H
1 2 1 1
Cartesian
0.0000 0.0000 0.0000
0.0000 2.2483 2.1619
2.2483 0.0000 2.1619
2.2483 2.2483 0.0000
0.0000 0.0000 2.1619
```